No. 1
Entry from the Alexandria database: crystalline SnPd2O at its relaxed geometry (GGA-PBE). Values from VASP.

Computed properties:
The symmetry is Fm-3m (225). As for the uncorrected formation energy: -0.203 eV/atom. The crystal system is cubic. The mass density is 9.67 Mg/m³.

The structure in Quantum ESPRESSO input format:
```
&SYSTEM
  ibrav = 0, nat = 4, ntyp = 3
/
ATOMIC_SPECIES
Pd 106.42 Pd.upf
O 16.00 O.upf
Sn 118.71 Sn.upf
ATOMIC_POSITIONS angstrom
Pd 4.652 4.652 4.652
O 0.000 0.000 0.000
Pd 1.551 1.551 1.551
Sn 3.101 3.101 3.101
CELL_PARAMETERS angstrom
0.000 3.101 3.101
3.101 0.000 3.101
3.101 3.101 0.000
```

No. 2
Entry from the Alexandria database: crystalline Rb2Sn2Te3 at its relaxed geometry (GGA-PBE). Values from VASP.

Computed properties:
The energy relative to the lowest polymorph listed for this composition is 19.5 meV/atom. The symmetry is C2/m (12). As for the uncorrected formation energy: -0.569 eV/atom. The crystal system is monoclinic. The mass density is 4.64 Mg/m³.

The structure in Quantum ESPRESSO input format:
```
&SYSTEM
  ibrav = 0, nat = 7, ntyp = 3
/
ATOMIC_SPECIES
Te 127.60 Te.upf
Rb 85.47 Rb.upf
Sn 118.71 Sn.upf
ATOMIC_POSITIONS angstrom
Te -0.416 3.494 -1.423
Rb 3.029 4.512 -0.473
Sn 4.023 2.918 2.931
Te 0.847 3.524 2.901
Rb 1.226 -0.036 4.198
Te 3.407 0.952 0.824
Sn 0.232 1.558 0.795
CELL_PARAMETERS angstrom
5.835 0.000 -1.704
-0.831 6.987 -2.846
-0.750 -2.511 8.275
```

No. 3
Entry from the Alexandria database: crystalline Mn2BeIr at its relaxed geometry (GGA-PBE). Values from VASP.

Computed properties:
The calculation puts the formation energy from the elements at 0.148 eV per formula unit. The symmetry is R3m (160). The crystal system is trigonal. The mass density is 11.10 Mg/m³.

The structure in Quantum ESPRESSO input format:
```
&SYSTEM
  ibrav = 0, nat = 4, ntyp = 3
/
ATOMIC_SPECIES
Mn 54.94 Mn.upf
Ir 192.22 Ir.upf
Be 9.01 Be.upf
ATOMIC_POSITIONS angstrom
Mn 23.078 3.826 2.249
Mn 5.759 0.955 0.561
Ir 17.482 2.898 1.704
Be 11.611 1.925 1.132
CELL_PARAMETERS angstrom
8.009 0.003 0.002
7.581 2.582 0.002
7.581 1.257 2.255
```

No. 4
Entry from the Alexandria database: crystalline AcSi2GeO8 at its relaxed geometry (GGA-PBE). Values from VASP.

Computed properties:
The symmetry is R32 (155). As for the uncorrected formation energy: -2.302 eV/atom. The crystal system is trigonal. The mass density is 5.48 Mg/m³.

The structure in Quantum ESPRESSO input format:
```
&SYSTEM
  ibrav = 0, nat = 12, ntyp = 4
/
ATOMIC_SPECIES
O 16.00 O.upf
Si 28.09 Si.upf
Ac 227.00 Ac.upf
Ge 72.64 Ge.upf
ATOMIC_POSITIONS angstrom
O 2.389 1.379 0.419
O 6.264 2.676 2.485
Si 7.167 4.138 5.359
O 4.106 1.430 4.926
O 6.264 2.841 4.926
Ac 0.000 0.000 0.000
O 3.963 1.513 2.485
O 4.106 4.087 2.485
O 7.167 4.138 6.992
Ge 4.778 2.759 3.706
O 3.963 4.004 4.926
Si 2.389 1.379 2.053
CELL_PARAMETERS angstrom
4.778 0.000 0.000
2.389 4.138 0.000
2.389 1.379 7.411
```

No. 5
Entry from the Alexandria database: crystalline LiAg2Sn at its relaxed geometry (GGA-PBE). Values from VASP.

Computed properties:
The calculation puts the formation energy from the elements at 0.076 eV per formula unit. The symmetry is I-42d (122). The crystal system is tetragonal. The mass density is 6.84 Mg/m³.

The structure in Quantum ESPRESSO input format:
```
&SYSTEM
  ibrav = 0, nat = 8, ntyp = 3
/
ATOMIC_SPECIES
Ag 107.87 Ag.upf
Sn 118.71 Sn.upf
Li 6.94 Li.upf
ATOMIC_POSITIONS angstrom
Ag 3.064 1.025 2.464
Sn 0.000 0.000 0.000
Sn 4.100 2.050 4.929
Ag 3.075 3.086 7.393
Ag 1.036 3.075 2.464
Li 2.050 2.050 0.000
Li 2.050 4.100 4.929
Ag 5.125 5.114 7.393
CELL_PARAMETERS angstrom
4.100 0.000 0.000
0.000 4.100 0.000
2.050 2.050 9.858
```

No. 6
Entry from the Alexandria database: crystalline Mg2ZnIn at its relaxed geometry (GGA-PBE). Values from VASP.

Computed properties:
The calculation puts the formation energy from the elements at -0.244 eV per formula unit. The symmetry is P2/m (10). The crystal system is monoclinic. The mass density is 4.56 Mg/m³.

The structure in Quantum ESPRESSO input format:
```
&SYSTEM
  ibrav = 0, nat = 4, ntyp = 3
/
ATOMIC_SPECIES
In 114.82 In.upf
Mg 24.30 Mg.upf
Zn 65.41 Zn.upf
ATOMIC_POSITIONS angstrom
In 1.999 4.880 4.888
Mg 0.000 3.264 3.140
Zn 1.999 1.627 1.629
Mg 0.000 3.224 0.160
CELL_PARAMETERS angstrom
3.999 0.000 0.000
0.000 3.235 0.041
0.000 3.272 6.477
```

No. 7
Entry from the Alexandria database: crystalline CdHgW2 at its relaxed geometry (GGA-PBE). Values from VASP.

Computed properties:
The energy relative to the lowest polymorph listed for this composition is 471.9 meV/atom. The calculation puts the formation energy from the elements at 3.610 eV per formula unit. The symmetry is F-43m (216). The crystal system is cubic. The mass density is 15.51 Mg/m³.

The structure in Quantum ESPRESSO input format:
```
&SYSTEM
  ibrav = 0, nat = 4, ntyp = 3
/
ATOMIC_SPECIES
Hg 200.59 Hg.upf
W 183.84 W.upf
Cd 112.41 Cd.upf
ATOMIC_POSITIONS angstrom
Hg -2.118 -7.854 -2.833
W 0.000 0.000 0.000
W -0.706 -2.618 -0.944
Cd -1.412 -5.236 -1.889
CELL_PARAMETERS angstrom
-3.344 -3.287 -0.029
-0.653 -2.647 -3.815
1.173 -4.539 0.067
```

No. 8
Entry from the Alexandria database: crystalline Th4OsCS2 at its relaxed geometry (GGA-PBE). Values from VASP.

Computed properties:
The symmetry is P2/m (10). As for the uncorrected formation energy: -1.047 eV/atom. The crystal system is monoclinic. The mass density is 10.58 Mg/m³.

The structure in Quantum ESPRESSO input format:
```
&SYSTEM
  ibrav = 0, nat = 8, ntyp = 4
/
ATOMIC_SPECIES
S 32.06 S.upf
Th 232.04 Th.upf
C 12.01 C.upf
Os 190.23 Os.upf
ATOMIC_POSITIONS angstrom
S 1.982 -1.200 3.372
Th 1.982 3.321 5.322
Th 0.000 4.531 1.598
C 1.982 3.479 0.077
Th 0.000 0.027 5.300
Th 1.982 1.237 1.576
Os 0.000 0.000 0.000
S 0.000 2.279 3.449
CELL_PARAMETERS angstrom
3.964 0.000 0.000
0.000 6.959 0.155
0.000 -2.401 6.743
```